# AsWAu | Alexandria via LeMat-Bulk | PBE | optimized geometry
data_AsWAu
_chemical_formula_sum 'As1 W1 Au1'
_cell_length_a 4.2738
_cell_length_b 4.2738
_cell_length_c 4.2738
_cell_angle_alpha 60.00
_cell_angle_beta 60.00
_cell_angle_gamma 60.00
_space_group_name_H-M_alt 'P 1'
_space_group_IT_number 1
loop_
_space_group_symop_operation_xyz
'x,y,z'
loop_
_atom_site_label
_atom_site_type_symbol
_atom_site_fract_x
_atom_site_fract_y
_atom_site_fract_z
Au1 Au 0.0000 0.0000 0.0000
As1 As 0.7500 0.7500 0.7500
W1 W 0.5000 0.5000 0.5000
# Density of states at the Fermi level = 2.1 states/eV/cell
# Formation energy from the elements = 675 meV per atom
# V = 55 Å³/f.u.
# Total DFT energy (no corrections) = -18.9 eV per cell
# M_tot = 0.0 μB per cell